K2CoH4I4O14: optimized geometry, PBE+U.

Output
VASP energy   -117.0 eV per formula unit

a = 7.952 Å, b = 8.004 Å, c = 8.080 Å
α = 88.98°, β = 60.55°, γ = 60.41°
Fractional positions:
1 K 0.000 0.000 0.000
2 K 0.477 0.999 0.997
3 Co 0.426 0.508 0.497
4 H 0.012 0.552 0.632
5 H 0.164 0.491 0.381
6 H 0.678 0.628 0.525
7 H 0.828 0.378 0.474
8 I 0.003 0.506 0.981
9 I 0.015 0.967 0.519
10 I 0.491 0.491 0.018
11 I 0.496 0.039 0.478
12 O 0.064 0.159 0.425
13 O 0.141 0.546 0.506
14 O 0.184 0.232 0.872
15 O 0.206 0.577 0.824
16 O 0.274 0.821 0.532
17 O 0.282 0.417 0.135
18 O 0.290 0.766 0.128
19 O 0.609 0.420 0.175
20 O 0.616 0.191 0.465
21 O 0.641 0.851 0.575
22 O 0.683 0.901 0.212
23 O 0.684 0.503 0.500
24 O 0.798 0.099 0.786
25 O 0.837 0.579 0.865